# 1
{
  "formula": "MoO3",
  "functional": "PBE+U",
  "state": "optimized geometry",
  "space_group": "Pc",
  "dft_energy_ev_per_atom": -7.031,
  "crystal_system": "monoclinic",
  "lattice_angstrom": [[7.392, 0.000, 0.000], [0.000, 5.529, 0.000], [-0.011, 0.000, 5.675]],
  "species": ["Mo", "Mo", "Mo", "Mo", "O", "O", "O", "O", "O", "O", "O", "O", "O", "O", "O", "O"],
  "fractional_positions": [[0.000, 0.247, 0.000], [0.000, 0.753, 0.500], [0.500, 0.251, 0.148], [0.500, 0.749, 0.648], [0.028, 0.008, 0.317], [0.028, 0.992, 0.817], [0.249, 0.305, 0.071], [0.249, 0.695, 0.571], [0.469, 0.013, 0.351], [0.469, 0.987, 0.851], [0.528, 0.498, 0.837], [0.528, 0.502, 0.337], [0.749, 0.196, 0.077], [0.749, 0.804, 0.577], [0.969, 0.480, 0.791], [0.969, 0.520, 0.291]]
}

***

# 2
{
  "formula": "MoO",
  "functional": "PBE+U",
  "state": "optimized geometry",
  "space_group": "Fm-3m",
  "dft_energy_ev_per_atom": -6.410,
  "de_polymorph_mev_per_atom": 300.3,
  "crystal_system": "cubic",
  "lattice_angstrom": [[0.000, 2.300, 2.300], [2.300, 0.000, 2.300], [2.300, 2.300, 0.000]],
  "species": ["Mo", "O"],
  "fractional_positions": [[0.000, 0.000, 0.000], [0.500, 0.500, 0.500]]
}

***

# 3
{
  "formula": "MoO4",
  "functional": "PBE+U",
  "state": "optimized geometry",
  "space_group": "C2/m",
  "dft_energy_ev_per_atom": -6.289,
  "de_polymorph_mev_per_atom": 215.3,
  "crystal_system": "monoclinic",
  "lattice_angstrom": [[10.546, -1.869, 0.000], [10.546, 1.869, 0.000], [-0.015, 0.000, 3.741]],
  "species": ["Mo", "Mo", "O", "O", "O", "O", "O", "O", "O", "O"],
  "fractional_positions": [[0.100, 0.100, 0.253], [0.900, 0.900, 0.747], [0.011, 0.621, 0.744], [0.080, 0.080, 0.753], [0.379, 0.989, 0.256], [0.429, 0.429, 0.747], [0.571, 0.571, 0.253], [0.621, 0.011, 0.744], [0.920, 0.920, 0.247], [0.989, 0.379, 0.256]]
}

***

# 4
{
  "formula": "MoO",
  "functional": "PBE+U",
  "state": "optimized geometry",
  "space_group": "Fddd",
  "dft_energy_ev_per_atom": -6.340,
  "de_polymorph_mev_per_atom": 370.6,
  "crystal_system": "orthorhombic",
  "lattice_angstrom": [[0.000, 5.224, 6.581], [1.528, 0.000, 6.581], [1.528, 5.224, 0.000]],
  "species": ["Mo", "Mo", "Mo", "Mo", "O", "O", "O", "O"],
  "fractional_positions": [[0.003, 0.003, 0.747], [0.253, 0.253, 0.997], [0.747, 0.747, 0.003], [0.997, 0.997, 0.253], [0.005, 0.745, 0.005], [0.255, 0.995, 0.255], [0.745, 0.005, 0.745], [0.995, 0.255, 0.995]]
}